This record from the Alexandria database describes a geometry-optimized LiTm2Cd3 structure. The functional is GGA-PBE.

Computed properties:
uncorrected energy	-2.538	eV/atom
formation enthalpy at 0 K	-0.27	eV/atom
volume	141.58	Å³ per cell
Fermi-level density of states	4.311	states/eV/f.u.

Lattice parameters (Å, degrees): 5.0883 5.0883 6.3144 90.00 90.00 120.00
Atoms (fractional coordinates):
Li 0.0000 0.0000 0.0000
Tm 0.3333 0.6667 0.6662
Tm 0.6667 0.3333 0.3338
Cd 0.0000 0.0000 0.5000
Cd 0.3333 0.6667 0.1570
Cd 0.6667 0.3333 0.8430

=====

This record from the Alexandria database describes a geometry-optimized ScHgAu2 structure. The functional is GGA-PBE.

Computed properties:
uncorrected energy	-3.710	eV/atom
formation enthalpy at 0 K	-0.41	eV/atom
volume	79.37	Å³ per cell
Fermi-level density of states	2.091	states/eV/f.u.

Lattice parameters (Å, degrees): 3.5423 3.5423 6.3254 90.00 90.00 90.00
Atoms (fractional coordinates):
Sc 0.0000 0.0000 0.0000
Hg 0.5000 0.5000 0.7191
Au 0.0000 0.0000 0.4698
Au 0.5000 0.5000 0.2161

=====

This record from the Alexandria database describes a geometry-optimized BaY2I structure. The functional is GGA-PBE.

Computed properties:
ΔE_f (raw)	-0.058	eV per atom
uncorrected energy	-4.158	eV/atom
volume	316.68	Å³ per cell
Fermi-level density of states	5.363	states/eV/f.u.

Lattice parameters (Å, degrees): 7.6068 7.6068 7.6068 101.80 101.80 126.23
Atoms (fractional coordinates):
Ba 0.0000 0.0000 0.0000
Ba 0.7500 0.2500 0.5000
Y 0.1967 0.6250 0.0717
Y 0.3750 0.4467 0.5717
Y 0.5533 0.1250 0.9283
Y 0.8750 0.8033 0.4283
I 0.2500 0.7500 0.5000
I 0.5000 0.5000 0.0000

=====

This record from the Alexandria database describes a geometry-optimized LiDy3Pu3Se8 structure. The functional is GGA-PBE.

Computed properties:
ΔE_f (raw)	-1.613	eV per atom
uncorrected energy	-7.386	eV/atom
volume	387.82	Å³ per cell
Fermi-level density of states	41.334	states/eV/f.u.

Lattice parameters (Å, degrees): 8.1804 8.1804 8.1701 119.85 119.85 60.11
Atoms (fractional coordinates):
Li 0.0000 0.0000 0.0000
Dy 0.0000 0.0000 0.5000
Dy 0.0000 0.5000 0.0000
Dy 0.5000 0.0000 0.0000
Pu 0.0000 0.5000 0.5000
Pu 0.5000 0.0000 0.5000
Pu 0.5000 0.5000 0.0000
Se 0.2417 0.7526 0.2459
Se 0.2472 0.2472 0.2446
Se 0.2474 0.7583 0.7541
Se 0.2481 0.2481 0.7513
Se 0.7519 0.7519 0.2487
Se 0.7526 0.2417 0.2459
Se 0.7528 0.7528 0.7554
Se 0.7583 0.2474 0.7541

=====

This record from the Alexandria database describes a geometry-optimized TcPdSe2 structure. The functional is GGA-PBE.

Computed properties:
ΔE_f (raw)	0.167	eV per atom
uncorrected energy	-5.465	eV/atom
volume	65.29	Å³ per cell
Fermi-level density of states	3.730	states/eV/f.u.

Lattice parameters (Å, degrees): 4.5197 4.5197 4.5197 60.00 60.00 60.00
Atoms (fractional coordinates):
Tc 0.0000 0.0000 0.0000
Pd 0.5000 0.5000 0.5000
Se 0.2500 0.2500 0.2500
Se 0.7500 0.7500 0.7500

=====

This record from the Alexandria database describes a geometry-optimized Li3Ac2Pb4Au structure. The functional is GGA-PBE.

Computed properties:
uncorrected energy	-3.668	eV/atom
formation enthalpy at 0 K	-0.46	eV/atom
volume	262.56	Å³ per cell
Fermi-level density of states	5.273	states/eV/f.u.

Lattice parameters (Å, degrees): 4.8448 4.8448 11.1860 90.00 90.00 90.00
Atoms (fractional coordinates):
Li 0.0000 0.0000 0.0000
Li 0.0000 0.5000 0.6270
Li 0.5000 0.0000 0.3730
Ac 0.0000 0.5000 0.2392
Ac 0.5000 0.0000 0.7608
Pb 0.0000 0.0000 0.5000
Pb 0.0000 0.5000 0.8649
Pb 0.5000 0.0000 0.1351
Pb 0.5000 0.5000 0.5000
Au 0.5000 0.5000 0.0000

=====

This record from the Alexandria database describes a geometry-optimized YZrNb4 structure. The functional is GGA-PBE.

Computed properties:
uncorrected energy	-9.084	eV/atom
formation enthalpy at 0 K	0.13	eV/atom
volume	127.35	Å³ per cell
Fermi-level density of states	12.154	states/eV/f.u.

Lattice parameters (Å, degrees): 5.6473 5.6473 5.6473 60.00 60.00 60.00
Atoms (fractional coordinates):
Y 0.0000 0.0000 0.0000
Zr 0.2500 0.2500 0.2500
Nb 0.1251 0.6250 0.6250
Nb 0.6250 0.1251 0.6250
Nb 0.6250 0.6250 0.1251
Nb 0.6250 0.6250 0.6250

=====

This record from the Alexandria database describes a geometry-optimized Ta2TiAlB structure. The functional is GGA-PBE.

Computed properties:
uncorrected energy	-6.339	eV/atom
formation enthalpy at 0 K	2.07	eV/atom
volume	103.33	Å³ per cell
Fermi-level density of states	8.701	states/eV/f.u.

Lattice parameters (Å, degrees): 4.6491 4.6491 4.7807 90.00 90.00 90.00
Atoms (fractional coordinates):
Ta 0.0000 0.5000 0.0000
Ta 0.5000 0.0000 0.0000
Ti 0.0000 0.0000 0.0000
Al 0.0000 0.0000 0.5000
B 0.5000 0.5000 0.5000

=====

This record from the Alexandria database describes a geometry-optimized Dy4Tm19Sc6 structure. The functional is GGA-PBE.

Computed properties:
uncorrected energy	-4.797	eV/atom
formation enthalpy at 0 K	0.08	eV/atom
volume	862.17	Å³ per cell
Fermi-level density of states	42.315	states/eV/f.u.

Lattice parameters (Å, degrees): 9.1291 9.8643 10.9878 106.32 107.30 101.53
Atoms (fractional coordinates):
Dy 0.0000 0.0000 0.0000
Dy 0.0219 0.6181 0.2885
Dy 0.3799 0.5735 0.9091
Dy 0.5737 0.1776 0.5138
Tm 0.0795 0.6731 0.0112
Tm 0.1045 0.2958 0.3034
Tm 0.1201 0.9222 0.5855
Tm 0.1740 0.9744 0.3103
Tm 0.2000 0.5929 0.5984
Tm 0.2263 0.2191 0.8845
Tm 0.3013 0.8963 0.8966
Tm 0.3329 0.5236 0.1957
Tm 0.4017 0.1950 0.1990
Tm 0.4243 0.8185 0.4901
Tm 0.4827 0.8789 0.2144
Tm 0.6007 0.7999 0.8031
Tm 0.6705 0.4728 0.8103
Tm 0.7750 0.7741 0.1129
Tm 0.7950 0.3942 0.3966
Tm 0.8213 0.0228 0.6877
Tm 0.8933 0.6943 0.6937
Tm 0.9230 0.3199 0.9907
Tm 0.9779 0.3733 0.7101
Sc 0.2744 0.2709 0.6096
Sc 0.5001 0.4978 0.5021
Sc 0.5186 0.1161 0.7849
Sc 0.7026 0.0906 0.1008
Sc 0.7225 0.7290 0.3946
Sc 0.8767 0.0736 0.4105

=====

This record from the Alexandria database describes a geometry-optimized PrEr7Tm12 structure. The functional is GGA-PBE.

Computed properties:
uncorrected energy	-3.780	eV/atom
formation enthalpy at 0 K	0.74	eV/atom
volume	697.98	Å³ per cell
Fermi-level density of states	25.095	states/eV/f.u.

Lattice parameters (Å, degrees): 9.6788 9.6788 9.6788 109.47 109.47 109.47
Atoms (fractional coordinates):
Pr 0.0000 0.0000 0.0000
Er 0.0000 0.0000 0.5000
Er 0.0000 0.5000 0.0000
Er 0.0000 0.5000 0.5000
Er 0.5000 0.0000 0.0000
Er 0.5000 0.0000 0.5000
Er 0.5000 0.5000 0.0000
Er 0.5000 0.5000 0.5000
Tm 0.0000 0.2594 0.7406
Tm 0.0000 0.7406 0.2594
Tm 0.2594 0.0000 0.7406
Tm 0.2594 0.2594 0.5189
Tm 0.2594 0.5189 0.2594
Tm 0.2594 0.7406 0.0000
Tm 0.4811 0.7406 0.7406
Tm 0.5189 0.2594 0.2594
Tm 0.7406 0.0000 0.2594
Tm 0.7406 0.2594 0.0000
Tm 0.7406 0.4811 0.7406
Tm 0.7406 0.7406 0.4811

=====

This record from the Alexandria database describes a geometry-optimized CaPPb2 structure. The functional is GGA-PBE.

Computed properties:
uncorrected energy	-3.747	eV/atom
formation enthalpy at 0 K	-0.04	eV/atom
volume	107.23	Å³ per cell
Fermi-level density of states	2.553	states/eV/f.u.

Lattice parameters (Å, degrees): 4.0182 4.0182 6.6410 90.00 90.00 90.00
Atoms (fractional coordinates):
Ca 0.0000 0.0000 0.0000
P 0.0000 0.0000 0.5000
Pb 0.5000 0.5000 0.2781
Pb 0.5000 0.5000 0.7219

=====

This record from the Alexandria database describes a geometry-optimized AcGaSb structure. The functional is GGA-PBE.

Computed properties:
ΔE_f (raw)	-0.253	eV per atom
uncorrected energy	-4.005	eV/atom
volume	109.78	Å³ per cell
Fermi-level density of states	4.152	states/eV/f.u.

Lattice parameters (Å, degrees): 5.3746 5.3746 5.3746 60.00 60.00 60.00
Atoms (fractional coordinates):
Ac 0.0000 0.0000 0.0000
Ga 0.7500 0.7500 0.7500
Sb 0.2500 0.2500 0.2500